Entry from the Alexandria database: a relaxed Re2AgW crystal (PBE).

Cell: 3.9138 3.9870 3.9870 Å, 90.00 90.00 90.00°
Last column: nearest neighbours and their distance in Å.
Fractional positions:
Re 0.0000 0.0000 0.0000  4 W 2.79, 4 Ag 2.79, 4 Re 2.82
Re 0.0000 0.5000 0.5000  4 W 2.79, 4 Ag 2.79, 4 Re 2.82
Ag 0.5000 0.0000 0.5000  8 Re 2.79, 4 W 2.82
W 0.5000 0.5000 0.0000  8 Re 2.79, 4 Ag 2.82

Output
electronic total energy	-9.669	eV/atom
V	15.55	Å³ per atom
SG	P4/mmm
offset from the most stable computed form	0.78	eV per formula unit